Compound: Tb3Pm2Bi3
Source: the Alexandria database
Functional: PBE
Structure: relaxed

The calculated density comes out at 9.51 g cm⁻³. The energy of formation comes out at -727 meV per atom. The calculation puts the spin magnetization at 0.48 μB per formula unit.

The structure belongs to space group P6_3/mcm (No. 193); the cell edges are 9.3349, 9.3349 and 6.4484 Å and the angles 90.00°, 90.00° and 120.00°. The asymmetric unit holds Tb at (0.0000, 0.2443, 0.2500), Pm at (0.3333, 0.6667, 0.0000) and Bi at (0.0000, 0.3849, 0.7500).

---

Compound: Hf2ReAu
Source: the Alexandria database
Functional: PBE
Structure: relaxed

The calculated density comes out at 14.90 g cm⁻³. The energy of formation comes out at 561 meV per atom. The calculation puts the spin magnetization at 0.50 μB per formula unit.

The structure belongs to space group I-42d (No. 122); the cell edges are 4.2273, 4.2273 and 18.4675 Å and the angles 90.00°, 90.00° and 90.00°. The asymmetric unit holds Hf at (0.2410, 0.2500, 0.1250), Re at (0.0000, 0.0000, 0.0000) and Au at (0.0000, 0.0000, 0.5000).

---

Compound: Ba2CoCu
Source: the Alexandria database
Functional: PBE
Structure: relaxed

The calculated density comes out at 5.63 g cm⁻³. The energy of formation comes out at 382 meV per atom. The calculation puts the spin magnetization at 0.65 μB per formula unit.

The structure belongs to space group P2/m (No. 10); the cell edges are 3.8758, 3.8616 and 7.8296 Å and the angles 90.00°, 90.07° and 90.00°. The asymmetric unit holds Ba at (0.9996, 0.0000, 0.2380), Co at (0.5000, 0.5000, 0.0000) and Cu at (0.5000, 0.5000, 0.5000).

---

Compound: CaVC
Source: the Alexandria database
Functional: PBE
Structure: relaxed

The calculated density comes out at 3.24 g cm⁻³. The energy of formation comes out at -136 meV per atom. The calculation puts the spin magnetization at 0.00 μB per formula unit.

The structure belongs to space group P4/nmm (No. 129, origin choice 2); the cell edges are 3.5112, 3.5112 and 8.5547 Å and the angles 90.00°, 90.00° and 90.00°. The asymmetric unit holds Ca at (0.2500, 0.2500, 0.1930), V at (0.2500, 0.7500, 0.5000) and C at (0.2500, 0.2500, 0.6324).

---

What did the first record say?
Compound: Tb3Pm2Bi3
Source: the Alexandria database
Functional: PBE
Structure: relaxed

The calculated density comes out at 9.51 g cm⁻³. The energy of formation comes out at -727 meV per atom. The calculation puts the spin magnetization at 0.48 μB per formula unit.

The structure belongs to space group P6_3/mcm (No. 193); the cell edges are 9.3349, 9.3349 and 6.4484 Å and the angles 90.00°, 90.00° and 120.00°. The asymmetric unit holds Tb at (0.0000, 0.2443, 0.2500), Pm at (0.3333, 0.6667, 0.0000) and Bi at (0.0000, 0.3849, 0.7500).

---

- Number 4 is which compound?
  CaVC